[1]
# Tm6Si2PSe3

Tm6Si2PSe3 after structural relaxation (GGA-PBE, Alexandria).

abc: 17.6435 4.0287 8.1122
angles: 90.00 103.70 90.00
Space group C2/m (No. 12)
Symmetry-distinct sites (fractional):
Tm (0.0048, 0.0000, 0.2387)
Tm (0.1623, 0.5000, 0.0927)
Tm (0.1696, 0.5000, 0.5742)
Si (0.1665, 0.0000, 0.3322)
P (0.0000, 0.5000, 0.0000)
Se (0.0000, 0.5000, 0.5000)
Se (0.1654, 0.0000, 0.8343)

Results
**Volume**: 23.34 A^3/atom
**M_tot**: 0.0 μB/cell
**Final energy**: -141.6 eV/cell

***

[2]
# Tm8SiP3Se4

Tm8SiP3Se4 after structural relaxation (GGA-PBE, Alexandria).

abc: 7.9773 7.9773 19.8350
angles: 90.00 90.00 120.00
Space group R-3m (No. 166, hexagonal axes)
Symmetry-distinct sites (fractional):
Tm (0.0000, 0.0000, 0.2424)
Tm (0.0000, 0.5000, 0.2433)
Si (0.0000, 0.0000, 0.5000)
P (0.0000, 0.5000, 0.5000)
Se (0.0000, 0.0000, 0.0000)
Se (0.0000, 0.5000, 0.0000)

Results
**Volume**: 22.77 A^3/atom
**M_tot**: 0.0 μB/cell
**Final energy**: -292.5 eV/cell